No. 1
This record from the Alexandria database describes a relaxed structure of Li2Ta2RhSe6. The functional is PBE.

Lattice parameters (Å, degrees): 6.338 6.338 6.932 96.63 96.63 122.52
Last column: magnetic moment on the atom in μB.
Atoms (fractional coordinates):
Se (0.043, 0.394, 0.715)  0.02
Se (0.244, 0.244, 0.236)  0.00
Se (0.606, 0.957, 0.285)  0.02
Se (0.957, 0.606, 0.285)  0.02
Se (0.394, 0.043, 0.715)  0.02
Se (0.756, 0.756, 0.764)  0.00
Rh (0.000, 0.000, 0.500)  0.37
Ta (0.632, 0.368, 0.500)  0.07
Ta (0.368, 0.632, 0.500)  0.07
Li (0.821, 0.179, 0.000)  0.01
Li (0.179, 0.821, 0.000)  0.01

Calculated values
- Formation energy (no corrections): -0.759 eV/atom
- V: 20.72 Å³/atom

***

No. 2
This record from the Alexandria database describes a relaxed structure of Ac2PaAu. The functional is PBE.

Lattice parameters (Å, degrees): 3.758 3.758 8.963 90.00 90.00 90.00
Atoms (fractional coordinates):
Pa (0.500, 0.500, 0.500)
Au (0.500, 0.500, 0.000)
Ac (0.000, 0.000, 0.773)
Ac (0.000, 0.000, 0.227)

Calculated values
- Energy above the most stable polymorph in this dataset: 0.00 eV per formula unit
- Calculated formation energy: -103.7 meV per atom
- V: 31.65 Å³/atom

***

No. 3
This record from the Alexandria database describes a relaxed structure of CsTe2HI. The functional is PBE.

Lattice parameters (Å, degrees): 7.753 7.753 7.311 90.00 90.00 90.00
Last column: magnetic moment on the atom in μB.
Atoms (fractional coordinates):
Cs (0.000, 0.000, 0.000)  0.01
Te (0.000, 0.500, 0.000)  0.90
Te (0.500, 0.000, 0.000)  0.90
I (0.000, 0.000, 0.500)  0.23
H (0.500, 0.500, 0.500)  0.38

Calculated values
- Energy above the most stable polymorph in this dataset: 4.57 eV per formula unit
- V: 87.91 Å³/atom

***

No. 4
This record from the Alexandria database describes a relaxed structure of MgTl4In2Hg2. The functional is PBE.

Lattice parameters (Å, degrees): 3.403 3.403 25.402 90.00 90.00 120.00
Atoms (fractional coordinates):
Hg (0.667, 0.333, 0.646)
Hg (0.000, 0.000, 0.990)
Mg (0.000, 0.000, 0.324)
Tl (0.000, 0.000, 0.531)
Tl (0.000, 0.000, 0.759)
Tl (0.667, 0.333, 0.102)
Tl (0.667, 0.333, 0.878)
In (0.667, 0.333, 0.226)
In (0.667, 0.333, 0.421)

Calculated values
- Calculated formation energy: 11.4 meV per atom
- V: 28.30 Å³/atom

***

No. 5
This record from the Alexandria database describes a relaxed structure of Sr2PaInN4. The functional is PBE.

Lattice parameters (Å, degrees): 3.571 6.089 6.409 110.61 90.00 90.00
Atoms (fractional coordinates):
N (0.500, 0.246, 0.208)
N (0.500, 0.754, 0.792)
N (0.000, 0.292, 0.787)
N (0.000, 0.708, 0.213)
Sr (0.000, 0.500, 0.500)
Sr (0.500, 0.000, 0.500)
Pa (0.500, 0.500, 0.000)
In (0.000, 0.000, 0.000)

Calculated values
- Formation energy (no corrections): -0.866 eV/atom
- V: 16.31 Å³/atom

***

No. 6
This record from the Alexandria database describes a relaxed structure of ZnCdSbTe2. The functional is PBE.

Lattice parameters (Å, degrees): 5.681 5.681 5.510 90.00 90.00 90.00
Atoms (fractional coordinates):
Zn (0.500, 0.500, 0.500)
Cd (0.000, 0.000, 0.000)
Te (0.000, 0.500, 0.000)
Te (0.500, 0.000, 0.000)
Sb (0.000, 0.000, 0.500)

Calculated values
- Formation energy (no corrections): 0.706 eV/atom
- Energy above the most stable polymorph in this dataset: 1.38 eV per formula unit
- V: 35.57 Å³/atom

***

No. 7
This record from the Alexandria database describes a relaxed structure of Ti2MnNb. The functional is PBE.

Lattice parameters (Å, degrees): 4.433 4.433 4.433 60.00 60.00 60.00
Last column: magnetic moment on the atom in μB.
Atoms (fractional coordinates):
Ti (0.250, 0.250, 0.250)  -0.07
Ti (0.750, 0.750, 0.750)  -0.07
Mn (0.000, 0.000, 0.000)  1.12
Nb (0.500, 0.500, 0.500)  0.20

Calculated values
- Energy above the most stable polymorph in this dataset: 0.65 eV per formula unit
- Calculated formation energy: 39.0 meV per atom
- V: 15.40 Å³/atom

***

No. 8
This record from the Alexandria database describes a relaxed structure of HoSe2. The functional is PBE.

Lattice parameters (Å, degrees): 4.056 4.056 8.321 90.00 90.00 90.00
Atoms (fractional coordinates):
Se (0.000, 0.500, 0.370)
Se (0.500, 0.500, 0.000)
Se (0.000, 0.000, 0.000)
Se (0.500, 0.000, 0.630)
Ho (0.500, 0.000, 0.274)
Ho (0.000, 0.500, 0.726)

Calculated values
- Formation energy (no corrections): -1.549 eV/atom
- V: 22.81 Å³/atom

***

No. 9
This record from the Alexandria database describes a relaxed structure of ZrRh3Pb. The functional is PBE.

Lattice parameters (Å, degrees): 4.853 4.853 4.853 90.00 90.00 90.00
Atoms (fractional coordinates):
Zr (0.000, 0.000, 0.000)
Rh (0.000, 0.000, 0.500)
Rh (0.500, 0.000, 0.000)
Rh (0.000, 0.500, 0.000)
Pb (0.500, 0.500, 0.500)

Calculated values
- Energy above the most stable polymorph in this dataset: 0.00 eV per formula unit
- Calculated formation energy: 617.6 meV per atom
- V: 22.86 Å³/atom

***

No. 10
This record from the Alexandria database describes a relaxed structure of Li3Y2HfSe6. The functional is PBE.

Lattice parameters (Å, degrees): 6.857 6.857 6.909 99.56 99.56 120.00
Atoms (fractional coordinates):
Se (0.233, 0.233, 0.749)
Se (0.402, 0.085, 0.254)
Se (0.085, 0.402, 0.254)
Se (0.915, 0.598, 0.746)
Se (0.598, 0.915, 0.746)
Se (0.767, 0.767, 0.251)
Y (0.333, 0.667, 0.000)
Y (0.667, 0.333, 0.000)
Li (0.834, 0.166, 0.500)
Li (0.500, 0.500, 0.500)
Li (0.166, 0.834, 0.500)
Hf (0.000, 0.000, 0.000)

Calculated values
- Formation energy (no corrections): -1.541 eV/atom
- V: 22.12 Å³/atom

***

No. 11
This record from the Alexandria database describes a relaxed structure of RbAsIN2. The functional is PBE.

Lattice parameters (Å, degrees): 4.496 4.496 6.023 90.00 90.00 90.00
Last column: magnetic moment on the atom in μB.
Atoms (fractional coordinates):
N (0.500, 0.000, 0.000)  0.96
N (0.000, 0.500, 0.000)  0.96
As (0.000, 0.000, 0.000)  -0.07
Rb (0.500, 0.500, 0.500)  0.00
I (0.000, 0.000, 0.500)  0.04

Calculated values
- Formation energy (no corrections): 1.102 eV/atom
- Energy above the most stable polymorph in this dataset: 0.00 eV per formula unit
- V: 24.35 Å³/atom

***

No. 12
This record from the Alexandria database describes a relaxed structure of RbPdAuO2. The functional is PBE.

Lattice parameters (Å, degrees): 4.629 6.790 7.251 117.92 90.00 90.00
Atoms (fractional coordinates):
Au (0.000, 0.000, 0.000)
Au (0.000, 0.500, 0.000)
Pd (0.500, 0.750, 0.000)
Pd (0.500, 0.250, 0.000)
O (0.363, 0.094, 0.189)
O (0.637, 0.906, 0.811)
O (0.637, 0.594, 0.189)
O (0.363, 0.406, 0.811)
Rb (0.224, 0.750, 0.500)
Rb (0.776, 0.250, 0.500)

Calculated values
- Formation energy (no corrections): -0.437 eV/atom
- V: 20.14 Å³/atom